# Ca3GaTe

A relaxed structure of Ca3GaTe (PBE-GGA, Alexandria).

Output
- uncorrected formation energy (eV/atom) = -0.48
- distance to the lowest polymorph of the same formula (meV per atom) = 0

The structure in POSCAR format:
```
Ca3GaTe
1.0
5.620 0.000 0.000
0.000 5.620 0.000
0.000 0.000 5.620
Ca Ga Te
3 1 1
Direct
0.000 0.000 0.500 Ca
0.000 0.500 0.000 Ca
0.500 0.000 0.000 Ca
0.000 0.000 0.000 Ga
0.500 0.500 0.500 Te
```